## Ca2ScSi (GGA-PBE)

Data for an optimized crystal structure of Ca2ScSi.

a = 5.7255 Å, b = 5.7255 Å, c = 5.7255 Å
α = 132.26°, β = 132.26°, γ = 69.81°
Fractional positions:
Ca: 0.0000 0.0000 0.0000
Ca: 0.2500 0.7500 0.5000
Sc: 0.5000 0.5000 0.0000
Si: 0.7500 0.2500 0.5000

Its symmetry is No. 119. The volume comes out at 25.20 Å³ per atom. The density of states at the Fermi level is 4.00 states/eV/f.u. The uncorrected formation energy comes out at 0.01 eV per formula unit.